Computed, not measured: an optimized crystal structure of Sr3LiSc at the PBE level of DFT.

Cell and atoms, written as POSCAR:
```
Sr3LiSc
1.0
6.1004 0.0000 0.0000
0.0000 6.1004 0.0000
0.0000 0.0000 6.1004
Sr Li Sc
3 1 1
direct
0.0000 0.0000 0.5000
0.0000 0.5000 0.0000
0.5000 0.0000 0.0000
0.0000 0.0000 0.0000
0.5000 0.5000 0.5000
```

Computed properties:
formation energy = 513 meV per atom
space-group type = Pm-3m, No. 221
energy above the most stable polymorph in this dataset = 0.000 eV/atom